# ScMo3, optimized geometry, DFT PBE
data_ScMo3
_cell_length_a 2.8070
_cell_length_b 4.5157
_cell_length_c 5.3718
_cell_angle_alpha 90.00
_cell_angle_beta 79.53
_cell_angle_gamma 90.00
_symmetry_space_group_name_H-M 'P 1'
_symmetry_Int_Tables_number 1
loop_
_symmetry_equiv_pos_as_xyz
'x,y,z'
loop_
_atom_site_label
_atom_site_fract_x
_atom_site_fract_y
_atom_site_fract_z
Mo1 0.2500 0.5000 0.2500
Sc1 0.7500 0.5000 0.7500
Mo2 0.0255 0.0000 0.0040
Mo3 0.4745 0.0000 0.4960
# ΔH_f (0 K) = 0.08 eV/atom
# raw total energy = -9.62 eV per atom